#i
Material: NaLiTl
Method: DFT, PBE
State: optimized geometry

The calculation puts the volume at 72.38 Å³/f.u. Its mass density is 5.38 g/cm³. The space group is No. 12.

Lattice parameters (Å, degrees): 3.849 4.853 9.359 121.44 101.87 90.00
Atoms (fractional coordinates):
Na (0.762, 0.275, 0.525)
Na (0.238, 0.725, 0.475)
Tl (0.083, 0.915, 0.165)
Tl (0.917, 0.085, 0.835)
Li (0.564, 0.379, 0.129)
Li (0.436, 0.621, 0.871)

#ii
Material: NaLiTl
Method: DFT, PBE
State: optimized geometry

The calculation puts the volume at 80.16 Å³/f.u. Its mass density is 4.85 g/cm³. The space group is No. 12.

Lattice parameters (Å, degrees): 4.664 4.664 8.605 73.06 73.06 65.96
Atoms (fractional coordinates):
Tl (0.553, 0.553, 0.809)
Tl (0.447, 0.447, 0.191)
Li (0.152, 0.152, 0.051)
Li (0.848, 0.848, 0.949)
Na (0.730, 0.730, 0.383)
Na (0.270, 0.270, 0.617)

#iii
Material: NaLiTl
Method: DFT, PBE
State: optimized geometry

The calculation puts the volume at 74.28 Å³/f.u. Its mass density is 5.24 g/cm³. The space group is No. 107.

Lattice parameters (Å, degrees): 3.665 3.665 6.108 107.46 107.46 90.00
Atoms (fractional coordinates):
Tl (0.303, 0.303, 0.607)
Li (0.930, 0.930, 0.861)
Na (0.616, 0.616, 0.233)

Most stable = #i

#i
Material: NaLiTl
Method: DFT, PBE
State: optimized geometry

The calculation puts the volume at 75.65 Å³/f.u. Its mass density is 5.14 g/cm³. The space group is No. 156.

Lattice parameters (Å, degrees): 3.328 5.123 5.123 120.00 90.00 90.00
Atoms (fractional coordinates):
Tl (0.583, 0.667, 0.333)
Li (0.402, 0.333, 0.667)
Na (0.015, 0.000, 0.000)

#ii
Material: NaLiTl
Method: DFT, PBE
State: optimized geometry

The calculation puts the volume at 83.14 Å³/f.u. Its mass density is 4.68 g/cm³. The space group is No. 216.

Lattice parameters (Å, degrees): 4.899 4.899 4.899 60.00 60.00 60.00
Atoms (fractional coordinates):
Na (0.500, 0.500, 0.500)
Tl (0.000, 0.000, 0.000)
Li (0.250, 0.250, 0.250)

Most stable = #i

#i
Material: NaLi2Tl
Method: DFT, PBE
State: optimized geometry

The calculation puts the volume at 94.99 Å³/f.u. Its mass density is 4.22 g/cm³. The space group is No. 123.

Lattice parameters (Å, degrees): 3.562 3.562 7.488 90.00 90.00 90.00
Atoms (fractional coordinates):
Li (0.000, 0.000, 0.207)
Li (0.000, 0.000, 0.793)
Na (0.500, 0.500, 0.500)
Tl (0.500, 0.500, 0.000)

#ii
Material: NaLi2Tl
Method: DFT, PBE
State: optimized geometry

The calculation puts the volume at 98.83 Å³/f.u. Its mass density is 4.05 g/cm³. The space group is No. 122.

Lattice parameters (Å, degrees): 7.938 7.938 6.430 51.88 51.88 90.00
Atoms (fractional coordinates):
Li (0.644, 0.125, 0.250)
Li (0.106, 0.625, 0.250)
Li (0.875, 0.894, 0.750)
Li (0.375, 0.356, 0.750)
Na (0.250, 0.750, 0.500)
Na (0.500, 0.500, 0.000)
Tl (0.750, 0.250, 0.500)
Tl (0.000, 0.000, 0.000)

Most stable = #i

#i
Material: NaLi2Tl
Method: DFT, PBE
State: optimized geometry

The calculation puts the volume at 90.51 Å³/f.u. Its mass density is 4.43 g/cm³. The space group is No. 123.

Lattice parameters (Å, degrees): 3.924 4.803 4.803 90.00 90.00 90.00
Atoms (fractional coordinates):
Li (0.000, 0.000, 0.500)
Li (0.000, 0.500, 0.000)
Na (0.500, 0.500, 0.500)
Tl (0.500, 0.000, 0.000)

#ii
Material: NaLi2Tl
Method: DFT, PBE
State: optimized geometry

The calculation puts the volume at 87.11 Å³/f.u. Its mass density is 4.60 g/cm³. The space group is No. 225.

Lattice parameters (Å, degrees): 4.976 4.976 4.976 60.00 60.00 60.00
Atoms (fractional coordinates):
Na (0.000, 0.000, 0.000)
Li (0.250, 0.250, 0.250)
Li (0.750, 0.750, 0.750)
Tl (0.500, 0.500, 0.500)

Most stable = #ii

#i
Material: NaLiTl3
Method: DFT, PBE
State: optimized geometry

The calculation puts the volume at 178.19 Å³/f.u. Its mass density is 5.99 g/cm³. The space group is No. 221.

Lattice parameters (Å, degrees): 5.627 5.627 5.627 90.00 90.00 90.00
Atoms (fractional coordinates):
Tl (0.000, 0.000, 0.500)
Tl (0.500, 0.000, 0.000)
Tl (0.000, 0.500, 0.000)
Na (0.000, 0.000, 0.000)
Li (0.500, 0.500, 0.500)

#ii
Material: NaLiTl3
Method: DFT, PBE
State: optimized geometry

The calculation puts the volume at 143.70 Å³/f.u. Its mass density is 7.43 g/cm³. The space group is No. 221.

Lattice parameters (Å, degrees): 5.238 5.238 5.238 90.00 90.00 90.00
Atoms (fractional coordinates):
Na (0.500, 0.500, 0.500)
Tl (0.000, 0.000, 0.500)
Tl (0.000, 0.500, 0.000)
Tl (0.500, 0.000, 0.000)
Li (0.000, 0.000, 0.000)

Most stable = #ii

#i
Material: Na2LiTl4
Method: DFT, PBE
State: optimized geometry

The calculation puts the volume at 188.97 Å³/f.u. Its mass density is 7.65 g/cm³. The space group is No. 139.

Lattice parameters (Å, degrees): 4.900 4.900 8.599 106.55 106.55 90.00
Atoms (fractional coordinates):
Tl (0.602, 0.102, 0.205)
Tl (0.102, 0.602, 0.205)
Tl (0.898, 0.398, 0.795)
Tl (0.398, 0.898, 0.795)
Li (0.000, 0.000, 0.000)
Na (0.752, 0.752, 0.504)
Na (0.248, 0.248, 0.496)

#ii
Material: Na2LiTl4
Method: DFT, PBE
State: optimized geometry

The calculation puts the volume at 237.33 Å³/f.u. Its mass density is 6.09 g/cm³. The space group is No. 65.

Lattice parameters (Å, degrees): 5.062 5.978 8.394 110.86 90.00 90.00
Atoms (fractional coordinates):
Na (0.500, 0.843, 0.687)
Na (0.500, 0.157, 0.313)
Tl (0.000, 0.297, 0.594)
Tl (0.000, 0.703, 0.406)
Tl (0.500, 0.594, 0.188)
Tl (0.500, 0.406, 0.812)
Li (0.000, 0.500, 0.000)

Most stable = #i